{"formula": "NaCoAsO3", "functional": "GGA+U", "state": "relaxed", "energy_ev_per_atom": -5.329, "magnetic_moment_mub_per_cell": 6.01, "lattice_angstrom": [[2.076, -5.368, 0.000], [2.076, 5.368, 0.000], [0.000, 0.000, 7.940]], "species": ["Na", "Na", "Co", "Co", "As", "As", "O", "O", "O", "O", "O", "O"], "fractional_positions": [[0.240, 0.760, 0.750], [0.760, 0.240, 0.250], [0.000, 0.000, 0.000], [0.000, 0.000, 0.500], [0.487, 0.513, 0.250], [0.513, 0.487, 0.750], [0.008, 0.992, 0.750], [0.381, 0.619, 0.075], [0.381, 0.619, 0.425], [0.619, 0.381, 0.575], [0.619, 0.381, 0.925], [0.992, 0.008, 0.250]]}